Model 1:
CuAs2SBr (PBE, relaxed); magnetization = 0.000 μB/cell
1.0
-3.768 2.999 -0.446
-2.981 -3.794 -0.323
-0.530 0.022 4.627
Cu Br S As
1 1 1 2
Cartesian
0.000 0.000 0.000
-0.265 0.011 2.313
-3.640 -0.387 1.929
-1.491 -1.897 -0.162
-1.884 1.499 -0.223

Model 2:
CuAs2SBr (PBE, relaxed); magnetization = 1.010 μB/cell
1.0
-4.375 1.701 -1.151
1.055 -0.461 -4.693
-1.896 -4.842 0.049
Br As Cu S
1 2 1 1
Cartesian
-0.948 -2.421 0.025
0.528 -0.230 -2.347
-2.187 0.850 -0.575
-2.607 -1.801 -2.898
0.000 0.000 0.000

Pick the most stable structure from those above. Pick: model 1